# GGA-PBE PaNbP3, optimized geometry
# - Formation energy: -0.682 eV per atom
# - Total energy: -7.841 eV/atom
data_PaNbP3
_chemical_formula_sum 'Pa2 Nb2 P6'
_space_group_name_H-M_alt 'P -1'
_space_group_IT_number 2
_cell_length_a 5.231
_cell_length_b 5.948
_cell_length_c 6.976
_cell_angle_alpha 107.43
_cell_angle_beta 111.99
_cell_angle_gamma 90.12
loop_
_space_group_symop_operation_xyz
'x,y,z'
'-x,-y,-z'
loop_
_atom_site_label
_atom_site_type_symbol
_atom_site_fract_x
_atom_site_fract_y
_atom_site_fract_z
Pa1 Pa 0.112 0.354 0.223
Nb1 Nb 0.333 0.044 0.665
P1 P 0.125 0.869 0.250
P2 P 0.329 0.451 0.659
P3 P 0.456 0.786 0.912